# La2MnSi

A relaxed La2MnSi crystal (GGA-PBEsol, Alexandria via LeMat-Bulk).

The structure in POSCAR format:
```
La2MnSi
1.0
4.196 0.000 0.000
0.000 4.692 0.000
0.000 0.000 4.692
La Mn Si
2 1 1
Direct
0.000 0.000 0.500
0.000 0.500 0.000
0.500 0.500 0.500
0.500 0.000 0.000
```

Values from the calculation:
The symmetry is P4/mmm (123). For the theoretical density, the calculation gives 6.5 g/cm3. For the total energy, the calculation gives -6.612 eV/atom. The uncorrected formation energy comes out at -62 meV/atom.

# LaMn2Si

A relaxed LaMn2Si crystal (GGA-PBEsol, Alexandria via LeMat-Bulk).

The structure in POSCAR format:
```
LaMn2Si
1.0
2.925 0.000 0.000
0.000 2.925 0.000
0.000 0.000 7.088
La Si Mn
1 1 2
Direct
0.500 0.500 0.758
0.000 0.000 0.427
0.500 0.500 0.241
0.000 0.000 0.074
```

Values from the calculation:
The symmetry is P4mm (99). For the theoretical density, the calculation gives 7.6 g/cm3. For the total energy, the calculation gives -7.647 eV/atom. The uncorrected formation energy comes out at 7 meV/atom.

# LaMn4Si

A relaxed LaMn4Si crystal (GGA-PBEsol, Alexandria via LeMat-Bulk).

The structure in POSCAR format:
```
LaMn4Si
1.0
4.952 0.000 0.000
2.476 4.289 0.000
2.476 1.430 4.043
Mn La Si
4 1 1
Direct
0.377 0.377 0.377
0.377 0.869 0.377
0.869 0.377 0.377
0.377 0.377 0.869
0.000 0.000 0.000
0.750 0.750 0.750
```

Values from the calculation:
The symmetry is F-43m (216). For the theoretical density, the calculation gives 7.5 g/cm3. For the total energy, the calculation gives -8.025 eV/atom. The uncorrected formation energy comes out at 331 meV/atom.

# La2MnSi

A relaxed La2MnSi crystal (GGA-PBEsol, Alexandria via LeMat-Bulk).

The structure in POSCAR format:
```
La2MnSi
1.0
4.198 0.000 0.000
0.000 4.261 0.000
0.000 -2.130 5.482
Mn La Si
1 2 1
Direct
0.000 0.685 0.371
0.000 0.982 0.964
0.500 0.268 0.536
0.500 0.565 0.129
```

Values from the calculation:
The symmetry is Amm2 (38). For the theoretical density, the calculation gives 6.1 g/cm3. For the total energy, the calculation gives -6.797 eV/atom. The uncorrected formation energy comes out at -247 meV/atom.

# LaMn2Si2

A relaxed LaMn2Si2 crystal (GGA-PBEsol, Alexandria via LeMat-Bulk).

The structure in POSCAR format:
```
LaMn2Si2
1.0
3.962 0.000 0.000
0.000 3.962 0.000
-1.981 -1.981 5.242
Si La Mn
2 1 2
Direct
0.629 0.629 0.257
0.371 0.371 0.743
0.000 0.000 0.000
0.750 0.250 0.500
0.250 0.750 0.500
```

Values from the calculation:
The symmetry is I4/mmm (139). For the theoretical density, the calculation gives 6.2 g/cm3. For the total energy, the calculation gives -7.809 eV/atom. The uncorrected formation energy comes out at -536 meV/atom.

# LaMn2Si

A relaxed LaMn2Si crystal (GGA-PBEsol, Alexandria via LeMat-Bulk).

The structure in POSCAR format:
```
LaMn2Si
1.0
-0.817 3.441 0.528
-2.023 0.082 -3.668
-4.050 -1.659 2.197
Mn Si La
2 1 1
Direct
0.732 0.000 0.884
0.268 0.000 0.116
0.500 0.500 0.000
0.000 0.500 0.500
```

Values from the calculation:
The symmetry is P2/m (10). For the theoretical density, the calculation gives 6.3 g/cm3. For the total energy, the calculation gives -7.456 eV/atom. The uncorrected formation energy comes out at 198 meV/atom.

# LaMn3Si

A relaxed LaMn3Si crystal (GGA-PBEsol, Alexandria via LeMat-Bulk).

The structure in POSCAR format:
```
LaMn3Si
1.0
4.498 0.000 0.000
0.000 4.498 0.000
0.000 0.000 4.498
La Mn Si
1 3 1
Direct
0.500 0.500 0.500
0.500 0.000 0.000
0.000 0.500 0.000
0.000 0.000 0.500
0.000 0.000 0.000
```

Values from the calculation:
The symmetry is Pm-3m (221). For the theoretical density, the calculation gives 6.1 g/cm3. For the total energy, the calculation gives -7.671 eV/atom. The uncorrected formation energy comes out at 404 meV/atom.

# La3YMn4Si4

A relaxed La3YMn4Si4 crystal (GGA-PBEsol, Alexandria via LeMat-Bulk).

The structure in POSCAR format:
```
La3YMn4Si4
1.0
-1.241 -3.626 0.986
3.234 -1.559 -1.664
7.137 1.060 12.878
La Mn Si Y
3 4 4 1
Direct
0.000 0.000 0.839
0.500 0.500 0.663
0.000 0.000 0.329
0.500 0.000 0.497
0.000 0.500 0.497
0.500 0.000 0.006
0.000 0.500 0.006
0.500 0.500 0.407
0.000 0.000 0.098
0.000 0.000 0.587
0.500 0.500 0.916
0.500 0.500 0.155
```

Values from the calculation:
The symmetry is P4mm (99). For the theoretical density, the calculation gives 6.0 g/cm3. For the total energy, the calculation gives -7.580 eV/atom. The uncorrected formation energy comes out at -506 meV/atom.

# SrLa3Mn

A relaxed SrLa3Mn crystal (GGA-PBEsol, Alexandria via LeMat-Bulk).

The structure in POSCAR format:
```
SrLa3Mn
1.0
-2.654 0.288 -4.763
1.898 -4.937 -1.356
-4.378 -2.315 2.299
La Sr Mn
3 1 1
Direct
0.000 0.500 0.000
0.500 0.000 0.000
0.000 0.000 0.500
0.500 0.500 0.500
0.000 0.000 0.000
```

Values from the calculation:
The symmetry is Pm-3m (221). For the theoretical density, the calculation gives 5.7 g/cm3. For the total energy, the calculation gives -5.323 eV/atom. The formation energy comes out at 205 meV per atom.

# La2TaMn

A relaxed La2TaMn crystal (GGA-PBEsol, Alexandria via LeMat-Bulk).

The structure in POSCAR format:
```
La2TaMn
1.0
-0.417 -1.724 2.736
-1.854 -2.682 -0.030
7.333 -7.035 -1.372
La Ta Mn
2 1 1
Direct
0.253 0.253 0.241
0.747 0.747 0.759
0.500 0.500 0.500
0.000 0.000 0.000
```

Values from the calculation:
The symmetry is R-3m (166). For the theoretical density, the calculation gives 9.2 g/cm3. For the total energy, the calculation gives -7.542 eV/atom. The formation energy comes out at 709 meV per atom.

# LaTaMn2

A relaxed LaTaMn2 crystal (GGA-PBEsol, Alexandria via LeMat-Bulk).

The structure in POSCAR format:
```
LaTaMn2
1.0
3.065 0.000 0.000
0.000 4.027 0.000
-1.533 -2.013 6.117
Mn La Ta
2 1 1
Direct
0.032 0.032 0.064
0.665 0.165 0.329
0.287 0.787 0.574
0.516 0.516 0.033
```

Values from the calculation:
The symmetry is Imm2 (44). For the theoretical density, the calculation gives 9.5 g/cm3. For the total energy, the calculation gives -8.857 eV/atom. The formation energy comes out at 498 meV per atom.

# LaTaMn3

A relaxed LaTaMn3 crystal (GGA-PBEsol, Alexandria via LeMat-Bulk).

The structure in POSCAR format:
```
LaTaMn3
1.0
4.703 0.000 0.000
0.000 4.703 0.000
0.000 0.000 4.703
La Mn Ta
1 3 1
Direct
0.500 0.500 0.500
0.500 0.000 0.000
0.000 0.000 0.500
0.000 0.500 0.000
0.000 0.000 0.000
```

Values from the calculation:
The symmetry is Pm-3m (221). For the theoretical density, the calculation gives 7.7 g/cm3. For the total energy, the calculation gives -8.526 eV/atom. The formation energy comes out at 911 meV per atom.

# LaTaMn

A relaxed LaTaMn crystal (GGA-PBEsol, Alexandria via LeMat-Bulk).

The structure in POSCAR format:
```
LaTaMn
1.0
-0.853 -3.795 1.538
3.134 0.453 2.855
-3.955 1.276 0.955
Mn La Ta
1 1 1
Direct
0.499 0.333 0.667
0.000 0.000 0.000
0.500 0.667 0.333
```

Values from the calculation:
The symmetry is P-6m2 (187). For the theoretical density, the calculation gives 9.5 g/cm3. For the total energy, the calculation gives -8.621 eV/atom. The formation energy comes out at 598 meV per atom.

# LaTa2Mn2

A relaxed LaTa2Mn2 crystal (GGA-PBEsol, Alexandria via LeMat-Bulk).

The structure in POSCAR format:
```
LaTa2Mn2
1.0
-2.878 1.951 -2.383
-3.021 -1.151 2.705
3.682 3.930 2.499
Mn La Ta
2 1 2
Direct
0.613 0.613 0.226
0.387 0.387 0.774
0.000 0.000 0.000
0.750 0.250 0.500
0.250 0.750 0.500
```

Values from the calculation:
The symmetry is I4/mmm (139). For the theoretical density, the calculation gives 11.1 g/cm3. For the total energy, the calculation gives -9.797 eV/atom. The formation energy comes out at 197 meV per atom.

# LaTaMn

A relaxed LaTaMn crystal (GGA-PBEsol, Alexandria via LeMat-Bulk).

The structure in POSCAR format:
```
LaTaMn
1.0
-0.489 3.323 3.031
-4.021 2.003 0.531
-2.402 -0.711 3.768
Mn La Ta
1 1 1
Direct
0.000 0.000 0.000
0.250 0.250 0.250
0.500 0.500 0.500
```

Values from the calculation:
The symmetry is F-43m (216). For the theoretical density, the calculation gives 9.5 g/cm3. For the total energy, the calculation gives -7.580 eV/atom. The formation energy comes out at 1639 meV per atom.